A plane-wave DFT calculation with PBE was carried out for MgTe after structural relaxation.

## Properties
E_form (uncorrected): -0.7960 eV per atom
Total DFT energy (no corrections): -37.969 eV for the cell shown

a b c (Å): 8.0074 8.0074 8.0074
angles (deg): 90.00 90.00 90.00
Last column: nearest neighbours and their distance in Å.
Space group Pm-3n (No. 223)
Symmetry-distinct sites (fractional):
Mg 0.0000 0.2500 0.5000 [6 per cell]  4 Te 2.83
Te 0.0000 0.5000 0.2500 [6 per cell]  4 Mg 2.83

---

A plane-wave DFT calculation with PBE was carried out for BeFe2Co after structural relaxation.

## Properties
Formation enthalpy at 0 K: 0.01 eV/atom
Total DFT energy (no corrections): -83.186 eV for the cell shown

a b c (Å): 2.4701 2.4701 23.5641
angles (deg): 90.00 90.00 120.00
Last column: nearest neighbours and their distance in Å.
Space group R-3m (No. 166, hexagonal axes)
Symmetry-distinct sites (fractional):
Be 0.0000 0.0000 0.0000 [3 per cell]  6 Fe 2.35, 6 Be 2.47
Fe 0.0000 0.0000 0.2539 [6 per cell]  3 Be 2.35, 6 Fe 2.47, 3 Co 2.50
Co 0.0000 0.0000 0.5000 [3 per cell]  6 Co 2.47, 6 Fe 2.50

---

A plane-wave DFT calculation with PBE was carried out for MgTcHg2 after structural relaxation.

## Properties
Formation enthalpy at 0 K: 0.27 eV/atom
Total DFT energy (no corrections): -22.994 eV for the cell shown

a b c (Å): 6.2919 6.3022 3.7287
angles (deg): 90.00 90.00 90.00
Last column: nearest neighbours and their distance in Å.
Space group Cmmm (No. 65)
Symmetry-distinct sites (fractional):
Mg 0.0000 0.0000 0.0000 [2 per cell]  8 Hg 2.90, 4 Tc 3.15
Tc 0.0000 0.5000 0.0000 [2 per cell]  8 Hg 2.90, 4 Mg 3.15
Hg 0.2500 0.2500 0.5000 [4 per cell]  4 Tc 2.90, 4 Mg 2.90, 4 Hg 3.15

---

A plane-wave DFT calculation with PBE was carried out for LiPuAl2Pt4 after structural relaxation.

## Properties
Formation enthalpy at 0 K: -0.90 eV/atom
Total DFT energy (no corrections): -165.374 eV for the cell shown

a b c (Å): 4.2527 4.2527 25.4643
angles (deg): 90.00 90.00 120.00
Last column: nearest neighbours and their distance in Å.
Space group R-3m (No. 166, hexagonal axes)
Symmetry-distinct sites (fractional):
Li 0.0000 0.0000 0.0000 [3 per cell]  8 Pt 2.51-2.61
Pu 0.0000 0.0000 0.5000 [3 per cell]  8 Pt 3.00-3.36
Al 0.0000 0.0000 0.2642 [6 per cell]  7 Pt 2.57-2.64
Pt 0.0000 0.0000 0.0987 [6 per cell]  1 Li 2.51, 3 Al 2.57
Pt 0.0000 0.0000 0.3679 [6 per cell]  4 Al 2.61-2.64, 3 Li 2.61